No. 1
Computed, not measured: a relaxed structure of InSnHg at the GGA-PBE level of DFT.

ΔH_f (0 K) (eV per atom): 0.08
Relative energy among the computed polymorphs (eV/atom): 0.0565
Space-group type: F-43m

abc: 5.046 5.046 5.046
angles: 60.00 60.00 60.00
Fractional coordinates of all 3 atoms:
In 0.500 0.500 0.500
Hg 0.000 0.000 0.000
Sn 0.250 0.250 0.250

No. 2
Computed, not measured: a relaxed structure of In3SnHg at the GGA-PBE level of DFT.

ΔH_f (0 K) (eV per atom): 0.06
Relative energy among the computed polymorphs (eV/atom): 0.0000
Space-group type: P6_3mc

abc: 4.900 4.900 13.896
angles: 90.00 90.00 120.00
Fractional coordinates of all 10 atoms:
In 0.667 0.333 0.620
In 0.000 0.000 0.307
In 0.667 0.333 0.933
Sn 0.333 0.667 0.730
Hg 0.000 0.000 0.536
Hg 0.000 0.000 0.036
In 0.333 0.667 0.120
In 0.333 0.667 0.433
Sn 0.667 0.333 0.230
In 0.000 0.000 0.807

No. 3
Computed, not measured: a relaxed structure of In10SnHg6 at the GGA-PBE level of DFT.

ΔH_f (0 K) (eV per atom): 0.04
Space-group type: P-31m

abc: 6.075 9.415 9.415
angles: 120.00 90.00 90.00
Fractional coordinates of all 17 atoms:
In 0.500 0.667 0.333
Hg 0.735 0.626 0.000
In 0.230 0.717 0.000
Hg 0.265 0.374 0.000
In 0.770 0.283 0.000
In 0.770 0.000 0.283
Hg 0.735 0.374 0.374
In 0.770 0.717 0.717
In 0.000 0.667 0.333
Hg 0.265 0.000 0.374
Hg 0.735 0.000 0.626
In 0.500 0.333 0.667
In 0.000 0.333 0.667
In 0.230 0.000 0.717
Hg 0.265 0.626 0.626
In 0.230 0.283 0.283
Sn 0.500 0.000 0.000

No. 4
Computed, not measured: a relaxed structure of In12Sn2Hg5 at the GGA-PBE level of DFT.

ΔH_f (0 K) (eV per atom): 0.03
Relative energy among the computed polymorphs (eV/atom): 0.0000
Space-group type: C2/m

abc: 9.031 9.391 8.029
angles: 114.75 90.00 118.74
Fractional coordinates of all 19 atoms:
Hg 0.163 0.325 0.888
Hg 0.000 0.000 0.500
In 0.779 0.168 0.452
In 0.469 0.441 0.186
Hg 0.837 0.675 0.112
In 0.071 0.141 0.207
In 0.531 0.559 0.814
Hg 0.742 0.484 0.456
In 0.971 0.441 0.186
In 0.390 0.168 0.452
In 0.610 0.832 0.548
In 0.612 0.224 0.823
Hg 0.258 0.516 0.544
In 0.221 0.832 0.548
In 0.388 0.776 0.177
In 0.029 0.559 0.814
Sn 0.321 0.000 0.000
In 0.929 0.859 0.793
Sn 0.679 0.000 0.000

No. 5
Computed, not measured: a relaxed structure of InSnHg4 at the GGA-PBE level of DFT.

ΔH_f (0 K) (eV per atom): 0.13
Relative energy among the computed polymorphs (eV/atom): 0.0990
Space-group type: F-43m

abc: 6.112 6.112 6.112
angles: 60.00 60.00 60.00
Fractional coordinates of all 6 atoms:
Hg 0.125 0.625 0.625
In 0.000 0.000 0.000
Hg 0.625 0.125 0.625
Hg 0.625 0.625 0.125
Hg 0.625 0.625 0.625
Sn 0.250 0.250 0.250

No. 6
Computed, not measured: a relaxed structure of In8Sn6Hg at the GGA-PBE level of DFT.

ΔH_f (0 K) (eV per atom): 0.05
Space-group type: R-3

abc: 7.666 7.666 7.666
angles: 77.80 77.80 77.80
Fractional coordinates of all 15 atoms:
In 0.157 0.616 0.927
In 0.073 0.843 0.384
In 0.225 0.225 0.225
In 0.775 0.775 0.775
Sn 0.417 0.800 0.577
In 0.616 0.927 0.157
Sn 0.583 0.200 0.423
In 0.843 0.384 0.073
Hg 0.000 0.000 0.000
Sn 0.200 0.423 0.583
Sn 0.577 0.417 0.800
In 0.384 0.073 0.843
Sn 0.800 0.577 0.417
Sn 0.423 0.583 0.200
In 0.927 0.157 0.616

No. 7
Computed, not measured: a relaxed structure of In2SnHg at the GGA-PBE level of DFT.

ΔH_f (0 K) (eV per atom): 0.07
Space-group type: I-42d

abc: 8.427 8.427 6.731
angles: 51.24 51.24 90.00
Fractional coordinates of all 8 atoms:
In 0.875 0.875 0.750
Hg 0.000 0.000 0.000
In 0.375 0.375 0.750
Hg 0.750 0.250 0.500
In 0.625 0.125 0.250
Sn 0.250 0.750 0.500
Sn 0.500 0.500 0.000
In 0.125 0.625 0.250

No. 8
Computed, not measured: a relaxed structure of In2SnHg6 at the GGA-PBE level of DFT.

ΔH_f (0 K) (eV per atom): 0.05
Relative energy among the computed polymorphs (eV/atom): 0.0103
Space-group type: P-6m2

abc: 3.347 3.347 24.786
angles: 90.00 90.00 120.00
Fractional coordinates of all 9 atoms:
Hg 0.333 0.667 0.221
In 0.667 0.333 0.332
Hg 0.667 0.333 0.112
Hg 0.333 0.667 0.441
Hg 0.333 0.667 0.559
In 0.667 0.333 0.668
Hg 0.667 0.333 0.888
Hg 0.333 0.667 0.779
Sn 0.333 0.667 0.000

No. 9
Computed, not measured: a relaxed structure of InSn3Hg3 at the GGA-PBE level of DFT.

ΔH_f (0 K) (eV per atom): 0.32
Relative energy among the computed polymorphs (eV/atom): 0.2656
Space-group type: Pm-3n

abc: 8.020 8.020 8.020
angles: 90.00 90.00 90.00
Fractional coordinates of all 14 atoms:
In 0.000 0.000 0.000
Hg 0.250 0.500 0.000
Sn 0.000 0.500 0.750
Sn 0.500 0.250 0.000
Hg 0.500 0.000 0.750
Hg 0.000 0.750 0.500
Hg 0.000 0.250 0.500
Sn 0.250 0.000 0.500
Sn 0.500 0.750 0.000
Sn 0.750 0.000 0.500
Hg 0.500 0.000 0.250
Hg 0.750 0.500 0.000
In 0.500 0.500 0.500
Sn 0.000 0.500 0.250

No. 10
Computed, not measured: a relaxed structure of In4Sn3Hg8 at the GGA-PBE level of DFT.

ΔH_f (0 K) (eV per atom): 0.05
Space-group type: P-4m2

abc: 4.841 4.841 17.376
angles: 90.00 90.00 90.00
Fractional coordinates of all 15 atoms:
In 0.500 0.000 0.882
Hg 0.500 0.000 0.106
Hg 0.500 0.000 0.630
Sn 0.000 0.000 0.000
In 0.000 0.500 0.633
Hg 0.000 0.000 0.243
Hg 0.000 0.500 0.370
Hg 0.500 0.500 0.763
In 0.000 0.500 0.118
In 0.500 0.000 0.367
Sn 0.000 0.000 0.500
Sn 0.500 0.500 0.500
Hg 0.000 0.000 0.757
Hg 0.500 0.500 0.237
Hg 0.000 0.500 0.894

No. 11
Computed, not measured: a relaxed structure of In2Sn5Hg4 at the GGA-PBE level of DFT.

ΔH_f (0 K) (eV per atom): 0.07
Space-group type: C2/m

abc: 3.306 11.010 13.150
angles: 42.20 97.22 90.00
Fractional coordinates of all 11 atoms:
Sn 0.818 0.936 0.635
Sn 0.182 0.064 0.365
In 0.157 0.679 0.314
Sn 0.721 0.337 0.441
Hg 0.962 0.830 0.924
Sn 0.500 0.000 0.000
Hg 0.572 0.453 0.144
In 0.843 0.321 0.686
Hg 0.428 0.547 0.856
Sn 0.279 0.663 0.559
Hg 0.038 0.170 0.076

No. 12
Computed, not measured: a relaxed structure of In3Sn3Hg at the GGA-PBE level of DFT.

ΔH_f (0 K) (eV per atom): 0.13
Relative energy among the computed polymorphs (eV/atom): 0.0959
Space-group type: P2_1/m

abc: 4.953 10.140 11.395
angles: 116.69 90.00 90.00
Fractional coordinates of all 14 atoms:
Sn 0.750 0.630 0.925
Sn 0.250 0.606 0.549
In 0.250 0.690 0.065
Hg 0.250 0.650 0.311
Sn 0.750 0.394 0.451
Sn 0.250 0.370 0.075
Sn 0.250 0.980 0.294
In 0.250 0.931 0.552
In 0.750 0.729 0.722
In 0.250 0.271 0.278
In 0.750 0.069 0.448
In 0.750 0.310 0.935
Hg 0.750 0.350 0.689
Sn 0.750 0.020 0.706

No. 13
Computed, not measured: a relaxed structure of In4Sn2Hg3 at the GGA-PBE level of DFT.

ΔH_f (0 K) (eV per atom): 0.04
Relative energy among the computed polymorphs (eV/atom): 0.0000
Space-group type: P3m1

abc: 3.382 3.382 24.480
angles: 90.00 90.00 120.00
Fractional coordinates of all 9 atoms:
Sn 0.667 0.333 0.875
Hg 0.000 0.000 0.323
In 0.667 0.333 0.430
In 0.667 0.333 0.218
Hg 0.667 0.333 0.653
In 0.000 0.000 0.761
In 0.000 0.000 0.544
Sn 0.667 0.333 0.090
Hg 0.000 0.000 0.982

No. 14
Computed, not measured: a relaxed structure of In12Sn6Hg at the GGA-PBE level of DFT.

ΔH_f (0 K) (eV per atom): 0.07
Relative energy among the computed polymorphs (eV/atom): 0.0045
Space-group type: R-3

abc: 8.132 8.132 8.132
angles: 89.62 89.62 89.62
Fractional coordinates of all 19 atoms:
In 0.575 0.484 0.187
In 0.379 0.149 0.054
In 0.149 0.054 0.379
Sn 0.876 0.734 0.266
In 0.187 0.575 0.484
In 0.621 0.851 0.946
In 0.054 0.379 0.149
Sn 0.734 0.266 0.876
Sn 0.266 0.734 0.124
Hg 0.000 0.000 0.000
In 0.425 0.516 0.813
In 0.946 0.621 0.851
In 0.851 0.946 0.621
In 0.484 0.187 0.575
Sn 0.124 0.266 0.734
Sn 0.266 0.876 0.734
In 0.516 0.813 0.425
Sn 0.734 0.124 0.266
In 0.813 0.425 0.516

No. 15
Computed, not measured: a relaxed structure of In3Sn4Hg4 at the GGA-PBE level of DFT.

ΔH_f (0 K) (eV per atom): 0.05
Relative energy among the computed polymorphs (eV/atom): 0.0200
Space-group type: Amm2

abc: 4.404 8.255 8.761
angles: 90.00 90.00 105.47
Fractional coordinates of all 11 atoms:
In 0.416 0.833 0.257
Sn 0.080 0.161 0.263
Hg 0.912 0.824 0.000
Sn 0.582 0.165 0.000
Sn 0.627 0.253 0.500
Sn 0.080 0.161 0.737
Hg 0.763 0.525 0.734
Hg 0.919 0.838 0.500
Hg 0.763 0.525 0.266
In 0.416 0.833 0.743
In 0.240 0.480 0.000

No. 16
Computed, not measured: a relaxed structure of InSn3Hg4 at the GGA-PBE level of DFT.

ΔH_f (0 K) (eV per atom): 0.04
Space-group type: Cm

abc: 3.260 11.750 6.193
angles: 89.76 74.74 82.03
Fractional coordinates of all 8 atoms:
In 0.734 0.505 0.027
Hg 0.146 0.257 0.451
Hg 0.889 0.248 0.973
Hg 0.153 0.737 0.958
Sn 0.041 0.991 0.926
Hg 0.405 0.748 0.441
Sn 0.995 0.513 0.497
Sn 0.303 0.001 0.392

No. 17
Computed, not measured: a relaxed structure of InSn3Hg6 at the GGA-PBE level of DFT.

ΔH_f (0 K) (eV per atom): 0.03
Space-group type: P2_1/m

abc: 3.224 11.599 15.011
angles: 82.36 90.00 90.00
Fractional coordinates of all 20 atoms:
In 0.250 0.927 0.285
Hg 0.750 0.823 0.685
Hg 0.750 0.685 0.302
Sn 0.250 0.475 0.100
Hg 0.250 0.281 0.907
Hg 0.250 0.878 0.491
Sn 0.750 0.619 0.505
Sn 0.250 0.381 0.495
Hg 0.250 0.767 0.888
Sn 0.750 0.980 0.097
Hg 0.750 0.122 0.509
Sn 0.250 0.020 0.903
Hg 0.750 0.719 0.093
Hg 0.250 0.315 0.698
Hg 0.750 0.233 0.112
Hg 0.250 0.177 0.315
Hg 0.750 0.556 0.703
In 0.750 0.073 0.715
Hg 0.250 0.444 0.297
Sn 0.750 0.525 0.900

No. 18
Computed, not measured: a relaxed structure of In9Sn4Hg2 at the GGA-PBE level of DFT.

ΔH_f (0 K) (eV per atom): 0.02
Space-group type: P-3m1

abc: 5.352 5.352 16.415
angles: 89.99 90.00 120.00
Fractional coordinates of all 15 atoms:
Hg 0.667 0.333 0.230
Sn 0.333 0.667 0.172
In 0.667 0.333 0.032
In 0.667 0.333 0.427
Sn 0.667 0.333 0.828
In 0.000 0.000 0.705
Hg 0.333 0.667 0.770
Sn 0.667 0.333 0.628
In 0.000 0.000 0.901
In 0.333 0.667 0.968
In 0.000 0.000 0.295
In 0.000 0.000 0.099
In 0.000 0.000 0.500
In 0.333 0.667 0.573
Sn 0.333 0.667 0.372

No. 19
Computed, not measured: a relaxed structure of InSn6Hg at the GGA-PBE level of DFT.

ΔH_f (0 K) (eV per atom): 0.06
Relative energy among the computed polymorphs (eV/atom): 0.0000
Space-group type: P4/mmm

abc: 4.637 4.637 10.172
angles: 90.00 90.00 90.00
Fractional coordinates of all 8 atoms:
In 0.000 0.000 0.500
Sn 0.500 0.000 0.750
Sn 0.500 0.500 0.500
Sn 0.000 0.500 0.750
Hg 0.000 0.000 0.000
Sn 0.000 0.500 0.250
Sn 0.500 0.500 0.000
Sn 0.500 0.000 0.250

No. 20
Computed, not measured: a relaxed structure of In5Sn2Hg5 at the GGA-PBE level of DFT.

ΔH_f (0 K) (eV per atom): 0.04
Space-group type: P-1

abc: 4.531 4.583 18.726
angles: 96.60 90.70 117.53
Fractional coordinates of all 12 atoms:
Hg 0.000 0.000 0.000
Hg 0.381 0.802 0.168
Sn 0.931 0.806 0.759
In 0.309 0.597 0.914
Hg 0.134 0.296 0.419
In 0.691 0.403 0.086
In 0.500 0.000 0.500
Sn 0.069 0.194 0.241
Hg 0.619 0.198 0.832
In 0.762 0.592 0.331
Hg 0.866 0.704 0.581
In 0.238 0.408 0.669